Ac2PrF8: relaxed, PBE-GGA.

E_form (uncorrected) = -89.340 kcal/mol of atoms
symmetry = Immm, No. 71
total moment = 0.091 μB/atom
E_tot = -6.417 eV/atom
V = 15.0 Å³/atom
density of states at the Fermi level = 0.5 states/eV/f.u.
offset from the most stable computed form = 0.055 eV/atom

```
data_Ac2PrF8
_symmetry_space_group_name_H-M 'P 1'
_symmetry_Int_Tables_number 1
_cell_length_a 6.990
_cell_length_b 6.990
_cell_length_c 6.990
_cell_angle_alpha 145.59
_cell_angle_beta 119.96
_cell_angle_gamma 71.07
loop_
_symmetry_equiv_pos_as_xyz
'x,y,z'
loop_
_atom_site_label
_atom_site_type_symbol
_atom_site_fract_x
_atom_site_fract_y
_atom_site_fract_z
_atom_site_occupancy
Ac1 Ac 0.186 0.186 0.000 1
Ac2 Ac 0.814 0.814 0.000 1
Pr1 Pr 0.500 0.500 0.000 1
F1 F 0.058 0.343 0.716 1
F2 F 0.190 0.000 0.190 1
F3 F 0.360 0.860 0.500 1
F4 F 0.373 0.657 0.716 1
F5 F 0.627 0.343 0.284 1
F6 F 0.640 0.140 0.500 1
F7 F 0.810 0.000 0.810 1
F8 F 0.942 0.657 0.284 1
```

NbFe2AgW: relaxed, PBE-GGA.

symmetry = P4/mmm, No. 123
total moment = 0.059 μB/atom
E_tot = -6.205 eV/atom
energy relative to the elements = 2.35 eV/atom
V = 18.9 Å³/atom
density of states at the Fermi level = 11.8 states/eV/f.u.

```
data_NbFe2AgW
_symmetry_space_group_name_H-M 'P 1'
_symmetry_Int_Tables_number 1
_cell_length_a 4.438
_cell_length_b 4.438
_cell_length_c 4.802
_cell_angle_alpha 90.00
_cell_angle_beta 90.00
_cell_angle_gamma 90.00
loop_
_symmetry_equiv_pos_as_xyz
'x,y,z'
loop_
_atom_site_label
_atom_site_type_symbol
_atom_site_fract_x
_atom_site_fract_y
_atom_site_fract_z
_atom_site_occupancy
Nb1 Nb 0.000 0.000 0.000 1
Fe1 Fe 0.000 0.500 0.500 1
Fe2 Fe 0.500 0.000 0.500 1
Ag1 Ag 0.500 0.500 0.500 1
W1 W 0.500 0.500 0.000 1
```